# 1
Tm3Zn9Pt2 (PBE, relaxed); SG = No. 71; calculated formation energy = -691 kJ/mol of formula units
1.0
-2.1270 4.4361 6.4760
2.1270 -4.4361 6.4760
2.1270 4.4361 -6.4760
Tm Zn Pt
3 9 2
direct
0.0000 0.0000 0.0000
0.3111 0.3111 0.0000
0.6889 0.6889 0.0000
0.0335 0.6733 0.3602
0.1488 0.8703 0.2785
0.3131 0.6733 0.6398
0.4082 0.1297 0.2785
0.5000 0.0000 0.5000
0.5918 0.8703 0.7215
0.6869 0.3267 0.3602
0.8512 0.1297 0.7215
0.9665 0.3267 0.6398
0.2944 0.5000 0.7944
0.7056 0.5000 0.2056

# 2
TmZn5Pt3 (PBE, relaxed); SG = No. 63; calculated formation energy = -479 kJ/mol of formula units
1.0
1.9366 -6.9533 0.0000
1.9366 6.9533 0.0000
0.0000 0.0000 11.7147
Tm Zn Pt
2 10 6
direct
0.1952 0.8048 0.7500
0.8048 0.1952 0.2500
0.0000 0.0000 0.0000
0.0000 0.0000 0.5000
0.1965 0.8035 0.0413
0.1965 0.8035 0.4587
0.4382 0.5618 0.6389
0.4382 0.5618 0.8611
0.5618 0.4382 0.1389
0.5618 0.4382 0.3611
0.8035 0.1965 0.5413
0.8035 0.1965 0.9587
0.1402 0.8598 0.2500
0.3828 0.6172 0.0815
0.3828 0.6172 0.4185
0.6172 0.3828 0.5815
0.6172 0.3828 0.9185
0.8598 0.1402 0.7500

Question: Among the records above, which one has the lowest calculated formation energy?
Answer: Tm3Zn9Pt2

Question: The lowest calculated formation energy belongs to which entry?
Answer: Tm3Zn9Pt2

Question: Which formula does entry 1 have?
Answer: Tm3Zn9Pt2